# ZrCuSN

ZrCuSN after structural relaxation (GGA-PBE, Alexandria).

Geometry as extended XYZ:
```
8
Lattice="-3.198 -1.101 -1.482 -2.853 -0.848 2.186 -5.068 8.695 -0.124" Properties=species:S:1:pos:R:3 pbc="T T T"
Cu -7.807 3.428 0.497
Cu -3.313 3.319 0.082
Zr -4.438 -0.064 0.422
Zr -6.682 6.811 0.158
N -8.832 6.568 0.377
N -2.288 0.179 0.203
S -4.069 5.636 -0.007
S -7.050 1.111 0.586
```

Properties
* calculated density: 5741 kg/m3
* raw total energy: -7.316 eV per atom
* size of the total moment: 0.0 μB/cell
* energy relative to the elements, uncorrected: -1.041 eV/atom
* crystal system: trigonal